{"formula": "KVCd2O4", "functional": "PBE+U", "state": "relaxed", "lattice": [[-1.0321, -2.3391, -4.9287], [-3.6743, -3.4094, 2.3884], [-0.9046, 5.8670, 0.5315]], "species": ["K", "Cd", "Cd", "O", "O", "O", "O", "V"], "frac_coords": [[0.0001, 0.0001, 0.0003], [0.7500, 0.2500, 0.5000], [0.2500, 0.7500, 0.5000], [0.8115, 0.4386, 0.2501], [0.4386, 0.8115, 0.2501], [0.5615, 0.5615, 0.7500], [0.1885, 0.1885, 0.7499], [0.5000, 0.5000, 0.0001]], "spacegroup": "No. 121", "e_tot_ev_per_atom": -5.150}